1.
This record from Alexandria describes a PBEsol-optimized structure of InCl5. The functional is meta-GGA SCAN.

CIF file:
```
data_InCl5
_chemical_formula_sum 'In1 Cl5'
_cell_length_a 6.0188
_cell_length_b 6.0188
_cell_length_c 4.6249
_cell_angle_alpha 90.00
_cell_angle_beta 90.00
_cell_angle_gamma 120.00
_space_group_name_H-M_alt 'P 6/m m m'
_space_group_IT_number 191
_space_group_name_Hall '-P 6 2'
loop_
_atom_site_label
_atom_site_type_symbol
_atom_site_fract_x
_atom_site_fract_y
_atom_site_fract_z
In1 In 0.0000 0.0000 0.0000
Cl1 Cl 0.0000 0.5000 0.5000
Cl2 Cl 0.3333 0.6667 0.0000
```

**Energy above the most stable polymorph in this dataset**: 1058 meV/atom
**Final energy**: -71.5 eV per cell

***

2.
This record from Alexandria describes a PBEsol-optimized structure of InCl. The functional is meta-GGA SCAN.

CIF file:
```
data_InCl
_chemical_formula_sum 'In6 Cl6'
_cell_length_a 11.6603
_cell_length_b 4.0853
_cell_length_c 7.9851
_cell_angle_alpha 90.00
_cell_angle_beta 120.85
_cell_angle_gamma 90.00
_space_group_name_H-M_alt 'C 1 m 1'
_space_group_IT_number 8
_space_group_name_Hall 'C -2y'
loop_
_atom_site_label
_atom_site_type_symbol
_atom_site_fract_x
_atom_site_fract_y
_atom_site_fract_z
In1 In 0.0000 0.0000 0.0000
In2 In 0.0944 0.0000 0.6361
In3 In 0.3077 0.0000 0.3068
Cl1 Cl 0.0932 0.5000 0.3601
Cl2 Cl 0.2621 0.5000 0.9998
Cl3 Cl 0.3562 0.0000 0.7264
```

**Final energy**: -258.4 eV per cell

***

3.
This record from Alexandria describes a PBEsol-optimized structure of InCl7. The functional is meta-GGA SCAN.

CIF file:
```
data_InCl7
_chemical_formula_sum 'In4 Cl28'
_cell_length_a 8.5793
_cell_length_b 8.5793
_cell_length_c 8.5793
_cell_angle_alpha 90.00
_cell_angle_beta 90.00
_cell_angle_gamma 90.00
_space_group_name_H-M_alt 'F m -3 m'
_space_group_IT_number 225
_space_group_name_Hall '-F 4 2 3'
loop_
_atom_site_label
_atom_site_type_symbol
_atom_site_fract_x
_atom_site_fract_y
_atom_site_fract_z
In1 In 0.0000 0.0000 0.0000
Cl1 Cl 0.0000 0.0000 0.5000
Cl2 Cl 0.0000 0.2500 0.2500
```

**Final energy**: -345.8 eV per cell

***

4.
This record from Alexandria describes a PBEsol-optimized structure of InCl. The functional is meta-GGA SCAN.

CIF file:
```
data_InCl
_chemical_formula_sum 'In2 Cl2'
_cell_length_a 5.2801
_cell_length_b 5.2801
_cell_length_c 6.2088
_cell_angle_alpha 90.00
_cell_angle_beta 90.00
_cell_angle_gamma 120.00
_space_group_name_H-M_alt 'P 63/m m c'
_space_group_IT_number 194
_space_group_name_Hall '-P 6c 2c'
loop_
_atom_site_label
_atom_site_type_symbol
_atom_site_fract_x
_atom_site_fract_y
_atom_site_fract_z
In1 In 0.3333 0.6667 0.2500
Cl1 Cl 0.3333 0.6667 0.7500
```

**Final energy**: -85.7 eV per cell

***

5.
This record from Alexandria describes a PBEsol-optimized structure of InCl3. The functional is meta-GGA SCAN.

CIF file:
```
data_InCl3
_chemical_formula_sum 'In3 Cl9'
_cell_length_a 8.3934
_cell_length_b 8.3934
_cell_length_c 4.7117
_cell_angle_alpha 90.00
_cell_angle_beta 90.00
_cell_angle_gamma 120.00
_space_group_name_H-M_alt 'R -3 m'
_space_group_IT_number 166
_space_group_name_Hall '-R 3 2"'
loop_
_atom_site_label
_atom_site_type_symbol
_atom_site_fract_x
_atom_site_fract_y
_atom_site_fract_z
In1 In 0.0000 0.0000 0.0000
Cl1 Cl 0.0000 0.5000 0.0000
```

**Final energy**: -175.0 eV per cell

***

6.
This record from Alexandria describes a PBEsol-optimized structure of In4Cl. The functional is meta-GGA SCAN.

CIF file:
```
data_In4Cl
_chemical_formula_sum 'In8 Cl2'
_cell_length_a 6.7223
_cell_length_b 6.7223
_cell_length_c 6.7223
_cell_angle_alpha 90.00
_cell_angle_beta 90.00
_cell_angle_gamma 90.00
_space_group_name_H-M_alt 'I m -3 m'
_space_group_IT_number 229
_space_group_name_Hall '-I 4 2 3'
loop_
_atom_site_label
_atom_site_type_symbol
_atom_site_fract_x
_atom_site_fract_y
_atom_site_fract_z
In1 In 0.2500 0.2500 0.2500
Cl1 Cl 0.0000 0.0000 0.0000
```

**Final energy**: -282.8 eV per cell

***

7.
This record from Alexandria describes a PBEsol-optimized structure of In5Cl. The functional is meta-GGA SCAN.

CIF file:
```
data_In5Cl
_chemical_formula_sum 'In10 Cl2'
_cell_length_a 11.4990
_cell_length_b 3.3135
_cell_length_c 9.5866
_cell_angle_alpha 90.00
_cell_angle_beta 124.19
_cell_angle_gamma 90.00
_space_group_name_H-M_alt 'C 1 m 1'
_space_group_IT_number 8
_space_group_name_Hall 'C -2y'
loop_
_atom_site_label
_atom_site_type_symbol
_atom_site_fract_x
_atom_site_fract_y
_atom_site_fract_z
In1 In 0.0000 0.0000 0.0000
In2 In 0.0039 0.0000 0.6402
In3 In 0.1379 0.5000 0.3337
In4 In 0.2343 0.5000 0.9924
In5 In 0.2826 0.0000 0.6741
Cl1 Cl 0.3877 0.0000 0.3147
```

**Final energy**: -352.2 eV per cell

***

8.
This record from Alexandria describes a PBEsol-optimized structure of InCl. The functional is meta-GGA SCAN.

CIF file:
```
data_InCl
_chemical_formula_sum 'In2 Cl2'
_cell_length_a 4.2190
_cell_length_b 4.3549
_cell_length_c 6.2686
_cell_angle_alpha 90.00
_cell_angle_beta 109.44
_cell_angle_gamma 90.00
_space_group_name_H-M_alt 'P 1 21/m 1'
_space_group_IT_number 11
_space_group_name_Hall '-P 2yb'
loop_
_atom_site_label
_atom_site_type_symbol
_atom_site_fract_x
_atom_site_fract_y
_atom_site_fract_z
In1 In 0.1124 0.2500 0.2129
Cl1 Cl 0.3446 0.2500 0.6910
```

**Final energy**: -86.3 eV per cell

***

9.
This record from Alexandria describes a PBEsol-optimized structure of InCl. The functional is meta-GGA SCAN.

CIF file:
```
data_InCl
_chemical_formula_sum 'In6 Cl6'
_cell_length_a 4.1531
_cell_length_b 4.1531
_cell_length_c 23.8172
_cell_angle_alpha 90.00
_cell_angle_beta 90.00
_cell_angle_gamma 120.00
_space_group_name_H-M_alt 'R -3 m'
_space_group_IT_number 166
_space_group_name_Hall '-R 3 2"'
loop_
_atom_site_label
_atom_site_type_symbol
_atom_site_fract_x
_atom_site_fract_y
_atom_site_fract_z
In1 In 0.0000 0.0000 0.1217
Cl1 Cl 0.0000 0.0000 0.3957
```

**Final energy**: -257.9 eV per cell

***

10.
This record from Alexandria describes a PBEsol-optimized structure of InCl. The functional is meta-GGA SCAN.

CIF file:
```
data_InCl
_chemical_formula_sum 'In1 Cl1'
_cell_length_a 3.9812
_cell_length_b 3.9812
_cell_length_c 4.1585
_cell_angle_alpha 90.00
_cell_angle_beta 90.00
_cell_angle_gamma 120.00
_space_group_name_H-M_alt 'P -6 m 2'
_space_group_IT_number 187
_space_group_name_Hall 'P -6 2'
loop_
_atom_site_label
_atom_site_type_symbol
_atom_site_fract_x
_atom_site_fract_y
_atom_site_fract_z
In1 In 0.0000 0.0000 0.0000
Cl1 Cl 0.6667 0.3333 0.5000
```

**Final energy**: -43.0 eV per cell

***

11.
This record from Alexandria describes a PBEsol-optimized structure of InCl. The functional is meta-GGA SCAN.

CIF file:
```
data_InCl
_chemical_formula_sum 'In4 Cl4'
_cell_length_a 12.2302
_cell_length_b 3.6205
_cell_length_c 5.1123
_cell_angle_alpha 90.00
_cell_angle_beta 114.61
_cell_angle_gamma 90.00
_space_group_name_H-M_alt 'C 1 2/m 1'
_space_group_IT_number 12
_space_group_name_Hall '-C 2y'
loop_
_atom_site_label
_atom_site_type_symbol
_atom_site_fract_x
_atom_site_fract_y
_atom_site_fract_z
In1 In 0.1198 0.0000 0.3692
Cl1 Cl 0.1002 0.5000 0.8500
```

**Final energy**: -171.8 eV per cell

***

12.
This record from Alexandria describes a PBEsol-optimized structure of In2IrCl. The functional is meta-GGA SCAN.

CIF file:
```
data_In2IrCl
_chemical_formula_sum 'In2 Ir1 Cl1'
_cell_length_a 3.1853
_cell_length_b 3.1853
_cell_length_c 7.9410
_cell_angle_alpha 90.00
_cell_angle_beta 90.00
_cell_angle_gamma 90.00
_space_group_name_H-M_alt 'P 4 m m'
_space_group_IT_number 99
_space_group_name_Hall 'P 4 -2'
loop_
_atom_site_label
_atom_site_type_symbol
_atom_site_fract_x
_atom_site_fract_y
_atom_site_fract_z
In1 In 0.0000 0.0000 0.0000
In2 In 0.5000 0.5000 0.3146
Ir1 Ir 0.0000 0.0000 0.4977
Cl1 Cl 0.5000 0.5000 0.7382
```

**Final energy**: -144.9 eV per cell

***

| no. | formation energy without anion corrections (eV per atom) |
| --- | --- |
| 1 | 0.294 |
| 2 | -0.855 |
| 3 | 0.349 |
| 4 | -0.754 |
| 5 | -0.255 |
| 6 | 0.021 |
| 7 | -0.198 |
| 8 | -0.884 |
| 9 | -0.810 |
| 10 | -0.796 |
| 11 | -0.791 |
| 12 | 0.237 |